Below is a relaxed TlTcAsO crystal, with properties calculated at the PBE level.

Output
The density is 7.4 g/cm3. The value obtained for the excess energy over the best structure of this formula in the dataset is 0.0 meV/atom.

Lattice parameters (Å, degrees): 3.1654 8.7926 6.3067 90.00 90.00 90.00
With the nearest neighbours (Å) after each atom.
Space group Pmc2_1 (No. 26)
One atom of each set of equivalent atoms:
1 Tl 0.0000 0.1278 0.0000  2 O 3.12, 3 As 3.13-3.35, 2 Tl 3.17
2 Tc 0.5000 0.4198 0.5984  2 O 1.86-1.88
3 As 0.0000 0.2286 0.4876  2 Tc 2.41
4 O 0.5000 0.4250 0.8969  2 Tc 1.86-1.88


Below is a relaxed TlTcAsO crystal, with properties calculated at the PBE level.

Output
The density is 7.4 g/cm3. The value obtained for the excess energy over the best structure of this formula in the dataset is 88.8 meV/atom.

Lattice parameters (Å, degrees): 3.7497 7.1591 6.5841 90.00 90.00 90.00
With the nearest neighbours (Å) after each atom.
Space group Pmc2_1 (No. 26)
One atom of each set of equivalent atoms:
1 Tl 0.0000 0.1300 0.0000  2 O 2.87-2.98, 2 As 3.09
2 Tc 0.5000 0.3007 0.4141  2 O 1.88
3 As 0.5000 0.3957 0.7651  2 Tc 2.38-2.41
4 O 0.0000 0.2776 0.4052  2 Tc 1.88


Below is a relaxed ZrTcAsO crystal, with properties calculated at the PBE level.

Output
The density is 7.2 g/cm3. The value obtained for the excess energy over the best structure of this formula in the dataset is 167.9 meV/atom.

Lattice parameters (Å, degrees): 5.4966 4.1681 5.6318 90.00 90.00 90.00
With the nearest neighbours (Å) after each atom.
Space group Pmma (No. 51)
One atom of each set of equivalent atoms:
1 Zr 0.2500 0.0000 0.2194  2 O 2.09
2 Tc 0.0000 0.5000 0.5000  2 O 2.16
3 As 0.2500 0.0000 0.7191  4 Zr 2.77-2.82, 4 Tc 2.78
4 O 0.2500 0.5000 0.2043  2 Zr 2.09, 2 Tc 2.16


Below is a relaxed ZrTcAsO crystal, with properties calculated at the PBE level.

Output
The density is 7.5 g/cm3. The value obtained for the excess energy over the best structure of this formula in the dataset is 201.5 meV/atom.

Lattice parameters (Å, degrees): 4.2526 4.7246 6.1356 90.00 90.00 90.00
With the nearest neighbours (Å) after each atom.
Space group Pmc2_1 (No. 26)
One atom of each set of equivalent atoms:
1 Zr 0.0000 0.2214 0.0000  2 O 2.08
2 Tc 0.5000 0.3696 0.3334  2 O 2.15
3 As 0.5000 0.1304 0.6893  3 Tc 2.46-2.52
4 O 0.0000 0.4211 0.3028  2 Zr 2.08, 2 Tc 2.15


Below is a relaxed ZrTcAsO crystal, with properties calculated at the PBE level.

Output
The density is 7.9 g/cm3. The value obtained for the excess energy over the best structure of this formula in the dataset is 0.0 meV/atom.

Lattice parameters (Å, degrees): 4.0959 4.0959 7.0294 90.00 90.00 90.00
With the nearest neighbours (Å) after each atom.
Space group P4/nmm (No. 129, origin choice 2)
One atom of each set of equivalent atoms:
1 Zr 0.2500 0.2500 0.1301  4 O 2.24
2 Tc 0.2500 0.7500 0.5000  4 As 2.45
3 As 0.2500 0.2500 0.6924  4 Tc 2.45
4 O 0.2500 0.7500 0.0000  4 Zr 2.24


Below is a relaxed ZrTcAsO crystal, with properties calculated at the PBE level.

Output
The density is 7.9 g/cm3. The value obtained for the excess energy over the best structure of this formula in the dataset is 1131.4 meV/atom.

Lattice parameters (Å, degrees): 4.1788 4.1788 6.7652 90.00 90.00 90.00
With the nearest neighbours (Å) after each atom.
Space group P4/nmm (No. 129, origin choice 2)
One atom of each set of equivalent atoms:
1 Zr 0.2500 0.7500 0.0000  4 As 2.78, 4 Zr 2.95
2 Tc 0.2500 0.2500 0.3606  4 O 2.29, 1 As 2.49
3 As 0.2500 0.2500 0.7293  1 Tc 2.49, 4 O 2.60, 4 Zr 2.78
4 O 0.2500 0.7500 0.5000  4 Tc 2.29


Below is a relaxed TmTeAsO6 crystal, with properties calculated at the PBE level.

Output
The density is 6.8 g/cm3. For the calculated total energy, the calculation gives -114.5 eV per cell.

Lattice parameters (Å, degrees): 5.2743 5.2743 9.4093 90.00 90.00 120.00
With the nearest neighbours (Å) after each atom.
Space group P-31c (No. 163)
One atom of each set of equivalent atoms:
1 Tm 0.0000 0.0000 0.0000  6 O 2.24
2 Te 0.3333 0.6667 0.2500  6 O 1.94
3 As 0.3333 0.6667 0.7500  6 O 2.13
4 O 0.0284 0.3650 0.1333  1 Te 1.94, 1 As 2.13


Below is a relaxed TmTeAsO crystal, with properties calculated at the PBE level.

Output
The density is 7.9 g/cm3. The value obtained for the excess energy over the best structure of this formula in the dataset is 650.2 meV/atom.

Lattice parameters (Å, degrees): 5.5278 5.5278 5.3031 90.00 90.00 90.00
With the nearest neighbours (Å) after each atom.
Space group P4/nmm (No. 129, origin choice 2)
One atom of each set of equivalent atoms:
1 Tm 0.2500 0.7500 0.0000  2 O 2.65, 4 As 2.81
2 Te 0.2500 0.2500 0.4132  2 As 2.58-2.72, 4 O 2.80
3 As 0.2500 0.2500 0.8997  2 Te 2.58-2.72, 4 Tm 2.81
4 O 0.2500 0.7500 0.5000  2 Tm 2.65, 4 Te 2.80


Below is a relaxed TmTeAsO crystal, with properties calculated at the PBE level.

Output
The density is 5.9 g/cm3. The value obtained for the excess energy over the best structure of this formula in the dataset is 0.0 meV/atom.

Lattice parameters (Å, degrees): 3.6877 7.3357 8.0638 90.00 90.00 90.00
With the nearest neighbours (Å) after each atom.
Space group Pmc2_1 (No. 26)
One atom of each set of equivalent atoms:
1 Tm 0.0000 0.2272 0.0000  2 O 2.05
2 Te 0.5000 0.3579 0.5362  2 As 2.73
3 As 0.0000 0.4493 0.3012  2 Te 2.73, 2 Tm 2.86-2.92
4 O 0.5000 0.1127 0.9615  2 Tm 2.05


Below is a relaxed TmTeAsO crystal, with properties calculated at the PBE level.

Output
The density is 7.5 g/cm3. The value obtained for the excess energy over the best structure of this formula in the dataset is 25.3 meV/atom.

Lattice parameters (Å, degrees): 4.0416 4.0416 10.5163 90.00 90.00 90.00
With the nearest neighbours (Å) after each atom.
Space group P4/nmm (No. 129, origin choice 2)
One atom of each set of equivalent atoms:
1 Tm 0.2500 0.2500 0.0935  4 O 2.25
2 Te 0.2500 0.7500 0.5000  4 Te 2.86, 4 As 3.18
3 As 0.2500 0.2500 0.7340  4 Te 3.18, 4 Tm 3.38, 4 O 3.45
4 O 0.2500 0.7500 0.0000  4 Tm 2.25


Below is a relaxed TmTeAsO crystal, with properties calculated at the PBE level.

Output
The density is 5.5 g/cm3. The value obtained for the excess energy over the best structure of this formula in the dataset is 11.6 meV/atom.

Lattice parameters (Å, degrees): 5.4814 7.2190 5.9336 90.00 90.00 90.00
With the nearest neighbours (Å) after each atom.
Space group Pmc2_1 (No. 26)
One atom of each set of equivalent atoms:
1 Tm 0.0000 0.1781 0.0000  2 O 1.98-1.99
2 Te 0.5000 0.3239 0.5227  1 As 2.61
3 As 0.5000 0.3143 0.0238  1 Te 2.61, 2 Tm 2.92
4 O 0.0000 0.0320 0.2830  2 Tm 1.98-1.99


Below is a relaxed ZnTeAsO crystal, with properties calculated at the PBE level.

Output
The density is 5.3 g/cm3. The value obtained for the excess energy over the best structure of this formula in the dataset is 355.8 meV/atom.

Lattice parameters (Å, degrees): 4.1673 4.1673 10.1741 90.00 90.00 90.00
With the nearest neighbours (Å) after each atom.
Space group P4/nmm (No. 129, origin choice 2)
One atom of each set of equivalent atoms:
1 Zn 0.2500 0.2500 0.0257  4 O 2.10
2 Te 0.2500 0.7500 0.5000  4 Te 2.95, 4 As 3.07
3 As 0.2500 0.2500 0.2779  1 Zn 2.57
4 O 0.2500 0.7500 0.0000  4 Zn 2.10


Below is a relaxed ZnTeAsO crystal, with properties calculated at the PBE level.

Output
The density is 5.9 g/cm3. The value obtained for the excess energy over the best structure of this formula in the dataset is 0.0 meV/atom.

Lattice parameters (Å, degrees): 4.4920 6.0036 5.8903 90.00 90.00 90.00
With the nearest neighbours (Å) after each atom.
Space group Pmc2_1 (No. 26)
One atom of each set of equivalent atoms:
1 Zn 0.0000 0.1408 0.0000  2 O 2.06-2.08
2 Te 0.5000 0.2526 0.3898  2 O 2.31
3 As 0.5000 0.2852 0.8836  2 Zn 2.50, 1 Te 2.77
4 O 0.0000 0.1701 0.3521  2 Zn 2.06-2.08


Below is a relaxed ZnTeAsO crystal, with properties calculated at the PBE level.

Output
The density is 6.7 g/cm3. The value obtained for the excess energy over the best structure of this formula in the dataset is 269.7 meV/atom.

Lattice parameters (Å, degrees): 3.9407 3.9407 9.0602 90.00 90.00 90.00
With the nearest neighbours (Å) after each atom.
Space group P4/nmm (No. 129, origin choice 2)
One atom of each set of equivalent atoms:
1 Zn 0.2500 0.7500 0.0000  4 As 2.60, 4 Zn 2.79
2 Te 0.2500 0.2500 0.3622  4 O 2.33
3 As 0.2500 0.2500 0.8128  4 Zn 2.60
4 O 0.2500 0.7500 0.5000  4 Te 2.33


Below is a relaxed ZnTeAsO crystal, with properties calculated at the PBE level.

Output
The density is 5.8 g/cm3. The value obtained for the excess energy over the best structure of this formula in the dataset is 34.3 meV/atom.

Lattice parameters (Å, degrees): 3.5363 7.5165 6.0687 90.00 90.00 90.00
With the nearest neighbours (Å) after each atom.
Space group Pmc2_1 (No. 26)
One atom of each set of equivalent atoms:
1 Zn 0.0000 0.1619 0.0000  2 O 2.00
2 Te 0.5000 0.3904 0.5910  1 O 2.08
3 As 0.0000 0.1680 0.4059  2 Zn 2.46-2.54, 2 Te 2.68
4 O 0.5000 0.2329 0.8723  2 Zn 2.00, 1 Te 2.08


Below is a relaxed ZrTeAsO crystal, with properties calculated at the PBE level.

Output
The density is 5.3 g/cm3. The value obtained for the excess energy over the best structure of this formula in the dataset is 91.8 meV/atom.

Lattice parameters (Å, degrees): 3.4654 8.6754 6.4536 90.00 90.00 90.00
With the nearest neighbours (Å) after each atom.
Space group Pmc2_1 (No. 26)
One atom of each set of equivalent atoms:
1 Zr 0.0000 0.2349 0.0000  2 O 2.00
2 Te 0.5000 0.2585 0.5940  2 As 2.76
3 As 0.0000 0.0735 0.3741  2 Te 2.76, 2 Zr 2.79-2.80
4 O 0.5000 0.3350 0.0735  2 Zr 2.00


Below is a relaxed ZrTeAsO crystal, with properties calculated at the PBE level.

Output
The density is 6.4 g/cm3. The value obtained for the excess energy over the best structure of this formula in the dataset is 277.3 meV/atom.

Lattice parameters (Å, degrees): 3.9187 3.9187 10.4465 90.00 90.00 90.00
With the nearest neighbours (Å) after each atom.
Space group P4/nmm (No. 129, origin choice 2)
One atom of each set of equivalent atoms:
1 Zr 0.2500 0.2500 0.1035  4 O 2.24
2 Te 0.2500 0.7500 0.5000  4 Te 2.77
3 As 0.2500 0.2500 0.7648  4 Zr 3.09, 4 O 3.14, 4 Te 3.39
4 O 0.2500 0.7500 0.0000  4 Zr 2.24


Below is a relaxed ZrTeAsO crystal, with properties calculated at the PBE level.

Output
The density is 5.9 g/cm3. The value obtained for the excess energy over the best structure of this formula in the dataset is 341.1 meV/atom.

Lattice parameters (Å, degrees): 7.3982 7.4221 6.4001 90.00 96.66 90.00
With the nearest neighbours (Å) after each atom.
Space group Cm (No. 8)
One atom of each set of equivalent atoms:
1 Zr 0.0000 0.2421 0.0000  1 O 2.11
2 Te 0.2172 0.5000 0.6868  1 As 2.63
3 Te 0.2299 0.0000 0.4008  2 O 1.95
4 As 0.2370 0.0000 0.8663  4 Zr 2.72-2.79, 1 Te 2.97
5 As 0.2520 0.5000 0.1000  1 Te 2.63, 4 Zr 2.70
6 O 0.0625 0.1986 0.3266  1 Te 1.95, 1 Zr 2.11


Below is a relaxed ZrTeAsO crystal, with properties calculated at the PBE level.

Output
The density is 4.9 g/cm3. The value obtained for the excess energy over the best structure of this formula in the dataset is 0.0 meV/atom.

Lattice parameters (Å, degrees): 4.3972 8.2293 5.7888 90.00 90.00 90.00
With the nearest neighbours (Å) after each atom.
Space group Pmc2_1 (No. 26)
One atom of each set of equivalent atoms:
1 Zr 0.0000 0.1565 0.0000  2 O 1.96-1.98
2 Te 0.5000 0.3099 0.6908  1 As 2.64
3 As 0.5000 0.3299 0.1455  1 Te 2.64, 2 Zr 2.75
4 O 0.0000 0.0330 0.2894  2 Zr 1.96-1.98


Below is a relaxed ZrTeAsO crystal, with properties calculated at the PBE level.

Output
The density is 7.2 g/cm3. The value obtained for the excess energy over the best structure of this formula in the dataset is 733.2 meV/atom.

Lattice parameters (Å, degrees): 5.1322 5.1322 5.4084 90.00 90.00 90.00
With the nearest neighbours (Å) after each atom.
Space group P4/nmm (No. 129, origin choice 2)
One atom of each set of equivalent atoms:
1 Zr 0.2500 0.7500 0.0000  2 O 2.70, 4 As 2.75
2 Te 0.2500 0.2500 0.3379  2 As 2.60-2.81, 4 O 2.71
3 As 0.2500 0.2500 0.8191  2 Te 2.60-2.81, 4 Zr 2.75
4 O 0.2500 0.7500 0.5000  2 Zr 2.70, 4 Te 2.71